Crystalline Mg6InHg at its relaxed geometry, computed with PBE.

Geometry as CIF:
```
data_Mg6InHg
_chemical_formula_sum 'Mg12 In2 Hg2'
_cell_length_a 5.138
_cell_length_b 6.525
_cell_length_c 10.574
_cell_angle_alpha 90.00
_cell_angle_beta 90.00
_cell_angle_gamma 90.00
_symmetry_space_group_name_H-M 'A m m 2'
_symmetry_Int_Tables_number 38
loop_
_symmetry_equiv_pos_as_xyz
'x,y,z'
'-x,-y,z'
'-x,y,z'
'x,-y,z'
'x,y+1/2,z+1/2'
'-x,-y+1/2,z+1/2'
'-x,y+1/2,z+1/2'
'x,-y+1/2,z+1/2'
loop_
_atom_site_label
_atom_site_type_symbol
_atom_site_fract_x
_atom_site_fract_y
_atom_site_fract_z
_atom_site_occupancy
Mg1 Mg 0.000 0.000 0.000 1
Mg2 Mg 0.000 0.243 0.749 1
Mg3 Mg 0.500 0.000 0.321 1
Mg4 Mg 0.500 0.247 0.574 1
In1 In 0.000 0.000 0.495 1
Hg1 Hg 0.500 0.000 0.829 1
```

Results
As for the crystal system: orthorhombic. The value obtained for the energy relative to the lowest polymorph listed for this composition is 0.09 eV/f.u.

---

Crystalline LaAl2Ni at its relaxed geometry, computed with PBE.

Geometry as CIF:
```
data_LaAl2Ni
_chemical_formula_sum 'La2 Al4 Ni2'
_cell_length_a 5.048
_cell_length_b 7.694
_cell_length_c 4.304
_cell_angle_alpha 90.00
_cell_angle_beta 90.00
_cell_angle_gamma 90.00
_symmetry_space_group_name_H-M 'C m m m'
_symmetry_Int_Tables_number 65
_symmetry_space_group_name_Hall '-C 2 2'
loop_
_atom_site_label
_atom_site_type_symbol
_atom_site_fract_x
_atom_site_fract_y
_atom_site_fract_z
_atom_site_occupancy
La1 La 0.000 0.000 0.000 1
Al1 Al 0.000 0.332 0.500 1
Ni1 Ni 0.000 0.500 0.000 1
```

Results
As for the crystal system: orthorhombic. The value obtained for the final energy is -5.019 eV per atom.

---

Crystalline La3PmTm4 at its relaxed geometry, computed with PBE.

Geometry as CIF:
```
data_La3PmTm4
_chemical_formula_sum 'La6 Pm2 Tm8'
_cell_length_a 11.565
_cell_length_b 7.304
_cell_length_c 6.318
_cell_angle_alpha 90.00
_cell_angle_beta 90.00
_cell_angle_gamma 90.00
_symmetry_space_group_name_H-M 'P m n 21'
_symmetry_Int_Tables_number 31
loop_
_symmetry_equiv_pos_as_xyz
'x,y,z'
'-x+1/2,-y,z+1/2'
'-x,y,z'
'x+1/2,-y,z+1/2'
loop_
_atom_site_label
_atom_site_type_symbol
_atom_site_fract_x
_atom_site_fract_y
_atom_site_fract_z
_atom_site_occupancy
La1 La 0.000 0.129 0.000 1
La2 La 0.249 0.126 0.334 1
Pm1 Pm 0.000 0.868 0.501 1
Tm1 Tm 0.000 0.382 0.502 1
Tm2 Tm 0.000 0.620 0.004 1
Tm3 Tm 0.249 0.618 0.334 1
```

Results
As for the crystal system: orthorhombic. The value obtained for the energy relative to the lowest polymorph listed for this composition is 0.00 eV/f.u.

---

Crystalline Sm3InRh at its relaxed geometry, computed with PBE.

Geometry as CIF:
```
data_Sm3InRh
_chemical_formula_sum 'Sm3 In1 Rh1'
_cell_length_a 5.416
_cell_length_b 5.416
_cell_length_c 5.416
_cell_angle_alpha 90.00
_cell_angle_beta 90.00
_cell_angle_gamma 90.00
_symmetry_space_group_name_H-M 'P m -3 m'
_symmetry_Int_Tables_number 221
_symmetry_space_group_name_Hall '-P 4 2 3'
loop_
_atom_site_label
_atom_site_type_symbol
_atom_site_fract_x
_atom_site_fract_y
_atom_site_fract_z
_atom_site_occupancy
Sm1 Sm 0.000 0.000 0.500 1
In1 In 0.500 0.500 0.500 1
Rh1 Rh 0.000 0.000 0.000 1
```

Results
As for the crystal system: cubic. The value obtained for the energy relative to the lowest polymorph listed for this composition is 0.89 eV/f.u.

---

Crystalline Pr2GdPt at its relaxed geometry, computed with PBE.

Geometry as CIF:
```
data_Pr2GdPt
_chemical_formula_sum 'Pr2 Gd1 Pt1'
_cell_length_a 3.715
_cell_length_b 3.715
_cell_length_c 8.562
_cell_angle_alpha 90.00
_cell_angle_beta 90.00
_cell_angle_gamma 90.00
_symmetry_space_group_name_H-M 'P 4/m m m'
_symmetry_Int_Tables_number 123
_symmetry_space_group_name_Hall '-P 4 2'
loop_
_atom_site_label
_atom_site_type_symbol
_atom_site_fract_x
_atom_site_fract_y
_atom_site_fract_z
_atom_site_occupancy
Pr1 Pr 0.000 0.000 0.198 1
Gd1 Gd 0.500 0.500 0.500 1
Pt1 Pt 0.500 0.500 0.000 1
```

Results
As for the crystal system: tetragonal. The value obtained for the energy relative to the lowest polymorph listed for this composition is 0.00 eV/f.u.

---

Crystalline La2Pr5Er2 at its relaxed geometry, computed with PBE.

Geometry as CIF:
```
data_La2Pr5Er2
_chemical_formula_sum 'La8 Pr20 Er8'
_cell_length_a 15.174
_cell_length_b 12.084
_cell_length_c 6.967
_cell_angle_alpha 90.00
_cell_angle_beta 90.00
_cell_angle_gamma 90.00
_symmetry_space_group_name_H-M 'I m a 2'
_symmetry_Int_Tables_number 46
loop_
_symmetry_equiv_pos_as_xyz
'x,y,z'
'-x,-y,z'
'-x+1/2,y,z'
'x+1/2,-y,z'
'x+1/2,y+1/2,z+1/2'
'-x+1/2,-y+1/2,z+1/2'
'-x,y+1/2,z+1/2'
'x,-y+1/2,z+1/2'
loop_
_atom_site_label
_atom_site_type_symbol
_atom_site_fract_x
_atom_site_fract_y
_atom_site_fract_z
_atom_site_occupancy
La1 La 0.126 0.003 0.000 1
Pr1 Pr 0.053 0.750 0.349 1
Pr2 Pr 0.143 0.234 0.683 1
Pr3 Pr 0.250 0.742 0.647 1
Er1 Er 0.000 0.000 0.528 1
Er2 Er 0.250 0.008 0.460 1
```

Results
As for the crystal system: orthorhombic. The value obtained for the energy relative to the lowest polymorph listed for this composition is 1.56 eV/f.u.

---

Crystalline KAg2RuBr8 at its relaxed geometry, computed with PBE.

Geometry as CIF:
```
data_KAg2RuBr8
_chemical_formula_sum 'K1 Ag2 Ru1 Br8'
_cell_length_a 6.707
_cell_length_b 6.878
_cell_length_c 8.882
_cell_angle_alpha 92.06
_cell_angle_beta 97.50
_cell_angle_gamma 109.72
_symmetry_space_group_name_H-M 'P -1'
_symmetry_Int_Tables_number 2
loop_
_symmetry_equiv_pos_as_xyz
'x,y,z'
'-x,-y,-z'
loop_
_atom_site_label
_atom_site_type_symbol
_atom_site_fract_x
_atom_site_fract_y
_atom_site_fract_z
_atom_site_occupancy
K1 K 0.000 0.000 0.000 1
Ag1 Ag 0.003 0.527 0.232 1
Ru1 Ru 0.000 0.000 0.500 1
Br1 Br 0.214 0.246 0.332 1
Br2 Br 0.226 0.775 0.482 1
Br3 Br 0.253 0.219 0.724 1
Br4 Br 0.274 0.689 0.002 1
```

Results
As for the crystal system: triclinic. Its raw formation energy is -5.730 eV per formula unit.

---

Crystalline Ca3Pd8Au at its relaxed geometry, computed with PBE.

Geometry as CIF:
```
data_Ca3Pd8Au
_chemical_formula_sum 'Ca9 Pd24 Au3'
_cell_length_a 5.4167
_cell_length_b 5.4167
_cell_length_c 26.4934
_cell_angle_alpha 90.00
_cell_angle_beta 90.00
_cell_angle_gamma 120.00
_symmetry_space_group_name_H-M 'R 3 m'
_symmetry_Int_Tables_number 160
_symmetry_space_group_name_Hall 'R 3 -2"'
loop_
_atom_site_label
_atom_site_type_symbol
_atom_site_fract_x
_atom_site_fract_y
_atom_site_fract_z
_atom_site_occupancy
Ca1 Ca 0.0000 0.0000 0.0000 1
Ca2 Ca 0.0000 0.0000 0.1303 1
Ca3 Ca 0.0000 0.0000 0.5156 1
Pd1 Pd 0.0000 0.0000 0.3182 1
Pd2 Pd 0.0000 0.0000 0.8185 1
Pd3 Pd 0.9996 0.4998 0.0681 1
Pd4 Pd 0.9997 0.4998 0.5687 1
Au1 Au 0.0000 0.0000 0.6361 1
```

Results
As for the crystal system: trigonal. The value obtained for the final energy is -4.789 eV per atom.

---

Crystalline CeZnGaRh at its relaxed geometry, computed with PBE.

Geometry as CIF:
```
data_CeZnGaRh
_chemical_formula_sum 'Ce4 Zn4 Ga4 Rh4'
_cell_length_a 6.663
_cell_length_b 6.663
_cell_length_c 6.663
_cell_angle_alpha 90.00
_cell_angle_beta 90.00
_cell_angle_gamma 90.00
_symmetry_space_group_name_H-M 'F -4 3 m'
_symmetry_Int_Tables_number 216
_symmetry_space_group_name_Hall 'F -4 2 3'
loop_
_atom_site_label
_atom_site_type_symbol
_atom_site_fract_x
_atom_site_fract_y
_atom_site_fract_z
_atom_site_occupancy
Ce1 Ce 0.000 0.000 0.000 1
Zn1 Zn 0.250 0.250 0.750 1
Ga1 Ga 0.000 0.000 0.500 1
Rh1 Rh 0.250 0.250 0.250 1
```

Results
As for the crystal system: cubic. The value obtained for the final energy is -4.839 eV per atom.

---

Crystalline K3Al5Cl12 at its relaxed geometry, computed with PBE.

Geometry as CIF:
```
data_K3Al5Cl12
_chemical_formula_sum 'K24 Al40 Cl96'
_cell_length_a 17.660
_cell_length_b 17.660
_cell_length_c 17.660
_cell_angle_alpha 90.00
_cell_angle_beta 90.00
_cell_angle_gamma 90.00
_symmetry_space_group_name_H-M 'I a -3 d'
_symmetry_Int_Tables_number 230
_symmetry_space_group_name_Hall '-I 4bd 2c 3'
loop_
_atom_site_label
_atom_site_type_symbol
_atom_site_fract_x
_atom_site_fract_y
_atom_site_fract_z
_atom_site_occupancy
K1 K 0.000 0.250 0.125 1
Al1 Al 0.000 0.000 0.000 1
Al2 Al 0.000 0.250 0.375 1
Cl1 Cl 0.050 0.059 0.672 1
```

Results
As for the crystal system: cubic. Its raw formation energy is -24.808 eV per formula unit.